1.
VASP calculation (PBE) on crystalline ZrAs2Os2 at its relaxed geometry.

a = 3.8973 Å, b = 3.8973 Å, c = 6.4986 Å
α = 72.55°, β = 72.55°, γ = 90.00°
Fractional positions:
1 As 0.7500 0.2500 0.5000
2 As 0.2500 0.7500 0.5000
3 Os 0.3960 0.3960 0.2081
4 Os 0.6040 0.6040 0.7919
5 Zr 0.0000 0.0000 0.0000

Output
Total energy, Ry per atom: -0.5880
Density of states at the Fermi level, states/eV/cell: 2.6
E_form, eV/f.u.: 0.3



2.
VASP calculation (PBE) on crystalline SrHgB2O at its relaxed geometry.

a = 5.6029 Å, b = 4.4612 Å, c = 5.6029 Å
α = 90.00°, β = 90.00°, γ = 90.00°
Fractional positions:
1 Sr 0.0000 0.0000 0.0000
2 B 0.0000 0.0000 0.5000
3 B 0.5000 0.0000 0.0000
4 Hg 0.5000 0.5000 0.5000
5 O 0.0000 0.5000 0.0000

Output
Total energy, Ry per atom: -0.1854
Density of states at the Fermi level, states/eV/cell: 3.1
E_form (uncorrected), meV/atom: 1537



3.
VASP calculation (PBE) on crystalline PrSmY2Ho at its relaxed geometry.

a = 7.2241 Å, b = 8.4879 Å, c = 7.1769 Å
α = 126.25°, β = 90.00°, γ = 90.00°
Fractional positions:
1 Pr 0.2500 0.7306 0.4611
2 Pr 0.7500 0.2694 0.5389
3 Sm 0.2500 0.9979 0.9959
4 Sm 0.7500 0.0021 0.0041
5 Y 0.5000 0.3118 0.0000
6 Y 0.0000 0.6882 0.0000
7 Y 0.5000 0.6882 0.0000
8 Y 0.0000 0.3118 0.0000
9 Ho 0.7500 0.7235 0.4469
10 Ho 0.2500 0.2765 0.5531

Output
Total energy, Ry per atom: -0.3688
Density of states at the Fermi level, states/eV/cell: 16.2
E_form, eV/f.u.: 1.9



4.
VASP calculation (PBE) on crystalline CuSi3 at its relaxed geometry.

a = 4.5289 Å, b = 4.5289 Å, c = 4.5289 Å
α = 90.00°, β = 90.00°, γ = 90.00°
Fractional positions:
1 Cu 0.0000 0.0000 0.0000
2 Si 0.5000 0.0000 0.0000
3 Si 0.0000 0.5000 0.0000
4 Si 0.0000 0.0000 0.5000

Output
Total energy, Ry per atom: -0.2945
Density of states at the Fermi level, states/eV/cell: 2.2
E_form (uncorrected), meV/atom: 1084



5.
VASP calculation (PBE) on crystalline HRhS2 at its relaxed geometry.

a = 6.0451 Å, b = 3.5880 Å, c = 3.5880 Å
α = 131.42°, β = 113.10°, γ = 66.90°
Fractional positions:
1 H 0.5000 0.5000 0.5000
2 S 0.7462 0.8064 0.1936
3 S 0.2538 0.1936 0.8064
4 Rh 0.0000 0.0000 0.0000

Output
Total energy, Ry per atom: -0.3407
Density of states at the Fermi level, states/eV/cell: 0.8
Polymorph energy (0 for the lowest one), eV per atom: 0.446



6.
VASP calculation (PBE) on crystalline Er2MgSb at its relaxed geometry.

a = 4.0711 Å, b = 4.0711 Å, c = 8.7990 Å
α = 76.62°, β = 76.62°, γ = 60.00°
Fractional positions:
1 Sb 0.0000 0.0000 0.0000
2 Mg 0.5000 0.5000 0.5000
3 Er 0.2605 0.2605 0.2185
4 Er 0.7395 0.7395 0.7815

Output
Total energy, Ry per atom: -0.2983
Density of states at the Fermi level, states/eV/cell: 2.9
E_form (uncorrected), meV/atom: -348
Polymorph energy (0 for the lowest one), eV per atom: 0.158